Entry 1:
# Sc4NbN5

A relaxed Sc4NbN5 crystal (GGA-PBE, Alexandria via LeMat-Bulk).

Lattice parameters (Å, degrees): 8.419 8.419 8.419 158.33 149.14 38.03
Positions (direct):
Sc1 0.101 0.101 0.000
Sc2 0.301 0.301 0.000
Sc3 0.699 0.699 0.000
Sc4 0.899 0.899 0.000
Nb1 0.500 0.500 0.000
N1 0.000 0.500 0.500
N2 0.200 0.700 0.500
N3 0.401 0.901 0.500
N4 0.599 0.099 0.500
N5 0.800 0.300 0.500

## Properties
symmetry = No. 71
energy = -9.475 eV/atom
Fermi-level density of states = 0.28 states/eV per atom
total magnetization = 0.00 μB/cell
energy relative to the elements, uncorrected = -40.88 kcal/mol of atoms

=====

Entry 2:
# Sc2NbN2

A relaxed Sc2NbN2 crystal (GGA-PBE, Alexandria via LeMat-Bulk).

Lattice parameters (Å, degrees): 6.685 6.685 2.899 90.00 90.00 90.00
Positions (direct):
Sc1 0.144 0.356 0.000
Sc2 0.356 0.856 0.000
Sc3 0.644 0.144 0.000
Sc4 0.856 0.644 0.000
Nb1 0.000 0.000 0.000
Nb2 0.500 0.500 0.000
N1 0.173 0.673 0.500
N2 0.327 0.173 0.500
N3 0.673 0.827 0.500
N4 0.827 0.327 0.500

## Properties
offset from the most stable computed form = 1466 meV per atom
symmetry = No. 127
energy = -7.789 eV/atom
Fermi-level density of states = 1.03 states/eV per atom
total magnetization = 0.00 μB/cell
energy relative to the elements, uncorrected = 2.02 kcal/mol of atoms

=====

Please write out number 1 again, unchanged.
# Sc4NbN5

A relaxed Sc4NbN5 crystal (GGA-PBE, Alexandria via LeMat-Bulk).

Lattice parameters (Å, degrees): 8.419 8.419 8.419 158.33 149.14 38.03
Positions (direct):
Sc1 0.101 0.101 0.000
Sc2 0.301 0.301 0.000
Sc3 0.699 0.699 0.000
Sc4 0.899 0.899 0.000
Nb1 0.500 0.500 0.000
N1 0.000 0.500 0.500
N2 0.200 0.700 0.500
N3 0.401 0.901 0.500
N4 0.599 0.099 0.500
N5 0.800 0.300 0.500

## Properties
symmetry = No. 71
energy = -9.475 eV/atom
Fermi-level density of states = 0.28 states/eV per atom
total magnetization = 0.00 μB/cell
energy relative to the elements, uncorrected = -40.88 kcal/mol of atoms

=====

Repeat the first record exactly.
# Sc4NbN5

A relaxed Sc4NbN5 crystal (GGA-PBE, Alexandria via LeMat-Bulk).

Lattice parameters (Å, degrees): 8.419 8.419 8.419 158.33 149.14 38.03
Positions (direct):
Sc1 0.101 0.101 0.000
Sc2 0.301 0.301 0.000
Sc3 0.699 0.699 0.000
Sc4 0.899 0.899 0.000
Nb1 0.500 0.500 0.000
N1 0.000 0.500 0.500
N2 0.200 0.700 0.500
N3 0.401 0.901 0.500
N4 0.599 0.099 0.500
N5 0.800 0.300 0.500

## Properties
symmetry = No. 71
energy = -9.475 eV/atom
Fermi-level density of states = 0.28 states/eV per atom
total magnetization = 0.00 μB/cell
energy relative to the elements, uncorrected = -40.88 kcal/mol of atoms